CuSb2P | PBE | relaxed

Values from the calculation:
Crystal system = cubic
Raw formation energy = 0.5597 eV/atom
Calculated volume = 84.2 Å³ per cell
Total magnetization = 0.00 Bohr magnetons per cell
Space-group type = F-43m (216)

POSCAR file:
```
CuSb2P
1.0
0.000 3.479 3.479
3.479 0.000 3.479
3.479 3.479 0.000
Cu Sb P
1 2 1
Direct
0.000 0.000 0.000
0.250 0.250 0.250
0.500 0.500 0.500
0.750 0.750 0.750
```

---

Sb2PBr | PBE | relaxed

Values from the calculation:
Crystal system = orthorhombic
Raw formation energy = 0.0236 eV/atom
Calculated volume = 115.6 Å³ per cell
Total magnetization = 0.00 Bohr magnetons per cell
Space-group type = Imm2 (44)

POSCAR file:
```
Sb2PBr
1.0
-1.972 1.995 7.347
1.972 -1.995 7.347
1.972 1.995 -7.347
Sb P Br
2 1 1
Direct
0.000 0.000 0.000
0.662 0.162 0.500
0.530 0.530 0.000
0.272 0.772 0.500
```

---

Dy3Cu2Pt6 | PBE | relaxed

Values from the calculation:
Crystal system = cubic
Total energy = -135.2 eV per cell
Calculated volume = 424.7 Å³ per cell
Total magnetization = 0.00 Bohr magnetons per cell
Space-group type = Im-3m (229)

POSCAR file:
```
Dy3Cu2Pt6
1.0
-4.735 4.735 4.735
4.735 -4.735 4.735
4.735 4.735 -4.735
Dy Cu Pt
6 4 12
Direct
0.000 0.301 0.301
0.000 0.699 0.699
0.301 0.000 0.301
0.301 0.301 0.000
0.699 0.000 0.699
0.699 0.699 0.000
0.000 0.000 0.500
0.000 0.500 0.000
0.500 0.000 0.000
0.500 0.500 0.500
0.000 0.332 0.668
0.000 0.668 0.332
0.332 0.000 0.668
0.332 0.332 0.665
0.332 0.665 0.332
0.332 0.668 0.000
0.335 0.668 0.668
0.665 0.332 0.332
0.668 0.000 0.332
0.668 0.332 0.000
0.668 0.335 0.668
0.668 0.668 0.335
```